1 | {"formula": "MoW", "functional": "PBE", "state": "relaxed", "spacegroup": "P4/nmm, No. 129", "dos_ef_per_ev_cell": 4.22, "lattice_angstrom": [[4.482, 0.000, 0.000], [0.000, 4.482, 0.000], [0.000, 0.000, 6.369]], "species": ["Mo", "Mo", "Mo", "Mo", "W", "W", "W", "W"], "fractional_positions": [[0.250, 0.250, 0.250], [0.250, 0.750, 0.000], [0.750, 0.250, 0.000], [0.750, 0.750, 0.750], [0.250, 0.250, 0.751], [0.250, 0.750, 0.500], [0.750, 0.250, 0.500], [0.750, 0.750, 0.249]]}

2 | {"formula": "MoW", "functional": "PBE", "state": "relaxed", "spacegroup": "P6_3/mmc, No. 194", "dos_ef_per_ev_cell": 3.77, "lattice_angstrom": [[4.005, 0.000, 0.000], [-2.003, 3.469, 0.000], [0.000, 0.000, 5.372]], "species": ["Mo", "Mo", "W", "W"], "fractional_positions": [[0.333, 0.667, 0.250], [0.667, 0.333, 0.750], [0.000, 0.000, 0.000], [0.000, 0.000, 0.500]]}

Most stable = 1

1 | {"formula": "MoW", "functional": "PBE", "state": "relaxed", "spacegroup": "Cm, No. 8", "dos_ef_per_ev_cell": 3.66, "lattice_angstrom": [[5.021, -1.589, 0.000], [5.021, 1.589, 0.000], [-2.029, 0.000, 6.024]], "species": ["Mo", "Mo", "Mo", "W", "W", "W"], "fractional_positions": [[0.000, 0.000, 0.000], [0.000, 0.000, 0.500], [0.333, 0.333, 0.166], [0.334, 0.334, 0.667], [0.667, 0.667, 0.333], [0.667, 0.667, 0.833]]}

2 | {"formula": "MoW", "functional": "PBE", "state": "relaxed", "spacegroup": "P-6m2, No. 187", "dos_ef_per_ev_cell": 2.11, "lattice_angstrom": [[2.772, 0.000, 0.000], [-1.386, 2.400, 0.000], [0.000, 0.000, 4.922]], "species": ["Mo", "W"], "fractional_positions": [[0.000, 0.000, 0.000], [0.333, 0.667, 0.500]]}

3 | {"formula": "MoW", "functional": "PBE", "state": "relaxed", "spacegroup": "P6_3mc, No. 186", "dos_ef_per_ev_cell": 2.89, "lattice_angstrom": [[2.765, 0.000, 0.000], [-1.383, 2.395, 0.000], [0.000, 0.000, 10.146]], "species": ["Mo", "Mo", "W", "W"], "fractional_positions": [[0.333, 0.667, 0.000], [0.667, 0.333, 0.500], [0.333, 0.667, 0.261], [0.667, 0.333, 0.761]]}

4 | {"formula": "MoW", "functional": "PBE", "state": "relaxed", "spacegroup": "R-3m, No. 166", "dos_ef_per_ev_cell": 1.66, "lattice_angstrom": [[1.503, 0.868, 4.199], [-1.503, 0.868, 4.199], [0.000, -1.735, 4.199]], "species": ["Mo", "W"], "fractional_positions": [[0.000, 0.000, 0.000], [0.500, 0.500, 0.500]]}

Most stable = 1

1 | {"formula": "MoW", "functional": "PBE", "state": "relaxed", "spacegroup": "P-1, No. 2", "dos_ef_per_ev_cell": 8.37, "lattice_angstrom": [[5.270, 0.000, 0.000], [0.951, 5.406, 0.000], [0.473, 2.696, 8.987]], "species": ["Mo", "Mo", "Mo", "Mo", "Mo", "Mo", "Mo", "Mo", "W", "W", "W", "W", "W", "W", "W", "W"], "fractional_positions": [[0.125, 0.250, 0.125], [0.125, 0.750, 0.125], [0.126, 0.000, 0.625], [0.374, 0.499, 0.875], [0.626, 0.501, 0.125], [0.874, 0.000, 0.375], [0.875, 0.250, 0.875], [0.875, 0.750, 0.875], [0.125, 0.499, 0.625], [0.375, 0.000, 0.875], [0.375, 0.250, 0.374], [0.375, 0.749, 0.375], [0.625, 0.000, 0.125], [0.625, 0.251, 0.625], [0.625, 0.750, 0.626], [0.875, 0.501, 0.375]]}

2 | {"formula": "MoW", "functional": "PBE", "state": "relaxed", "spacegroup": "Pmmn, No. 59", "dos_ef_per_ev_cell": 2.57, "lattice_angstrom": [[2.654, 0.000, 0.000], [0.000, 4.645, 0.000], [0.000, 0.000, 5.307]], "species": ["Mo", "Mo", "W", "W"], "fractional_positions": [[0.250, 0.250, 0.125], [0.750, 0.750, 0.875], [0.250, 0.250, 0.624], [0.750, 0.750, 0.376]]}

Most stable = 1